The following is a DFT calculation (PBE) of a relaxed CsScSe2 crystal.

Fermi-level density of states, states/eV/f.u.: 0.00
Mass density, g/cm3: 3.38
Energy relative to the elements, uncorrected, eV/atom: -1.24
Magnetic moment, μB/f.u.: 0.0
Energy, eV per atom: -4.781

```
CsScSe2
1.0
2.595 -12.014 0.000
2.595 12.014 0.000
0.000 0.000 5.285
Cs Sc Se
2 2 4
Direct
0.179 0.821 0.750
0.821 0.179 0.250
0.437 0.563 0.750
0.563 0.437 0.250
0.334 0.666 0.750
0.450 0.550 0.250
0.550 0.450 0.750
0.666 0.334 0.250
```


The following is a DFT calculation (PBE) of a relaxed HoThZnTc crystal.

Fermi-level density of states, states/eV/f.u.: 5.32
Mass density, g/cm3: 10.39
Magnetic moment, μB/f.u.: 0.0
ΔE_f, eV/atom: -0.144
Energy, eV per atom: -6.054

```
HoThZnTc
1.0
0.000 3.551 3.551
3.551 0.000 3.551
3.551 3.551 0.000
Ho Th Zn Tc
1 1 1 1
Direct
0.000 0.000 0.000
0.500 0.500 0.500
0.750 0.750 0.750
0.250 0.250 0.250
```


The following is a DFT calculation (PBE) of a relaxed CePrSmCo crystal.

Fermi-level density of states, states/eV/f.u.: 6.20
Mass density, g/cm3: 7.21
Magnetic moment, μB/f.u.: 0.0
ΔE_f, eV/atom: -0.043
Energy, eV per atom: -5.678

```
CePrSmCo
1.0
3.761 0.000 0.000
1.872 3.265 0.000
1.842 1.051 9.197
Ce Pr Sm Co
1 1 1 1
Direct
0.000 0.000 0.000
0.558 0.561 0.322
0.782 0.786 0.656
0.384 0.388 0.849
```


The following is a DFT calculation (PBE) of a relaxed Ba2LaFe crystal.

Offset from the most stable computed form, kJ per mole of atoms: 34.3
Fermi-level density of states, states/eV/f.u.: 6.90
Mass density, g/cm3: 5.11
Magnetic moment, μB/f.u.: 2.2
ΔE_f, eV/atom: 0.665
Energy, eV per atom: -3.644

```
Ba2LaFe
1.0
4.272 0.000 0.000
0.000 5.141 0.000
-1.591 0.000 6.948
Ba La Fe
2 1 1
Direct
0.119 0.000 0.282
0.881 0.000 0.718
0.500 0.500 0.000
0.500 0.500 0.500
```


The following is a DFT calculation (PBE) of a relaxed KLaZr2 crystal.

Offset from the most stable computed form, kJ per mole of atoms: 65.7
Fermi-level density of states, states/eV/f.u.: 8.78
Mass density, g/cm3: 5.02
Magnetic moment, μB/f.u.: 0.0
ΔE_f, eV/atom: 1.004
Energy, eV per atom: -4.777

```
KLaZr2
1.0
0.000 3.907 3.907
3.907 0.000 3.907
3.907 3.907 0.000
K La Zr
1 1 2
Direct
0.000 0.000 0.000
0.500 0.500 0.500
0.250 0.250 0.250
0.750 0.750 0.750
```


The following is a DFT calculation (PBE) of a relaxed DyH3 crystal.

Fermi-level density of states, states/eV/f.u.: 0.04
Mass density, g/cm3: 7.72
Magnetic moment, μB/f.u.: 0.0
Energy, eV per atom: -4.085

```
DyH3
1.0
3.290 0.000 0.000
0.000 3.290 0.000
0.000 0.000 3.290
Dy H
1 3
Direct
0.000 0.000 0.000
0.000 0.500 0.500
0.500 0.000 0.500
0.500 0.500 0.000
```


The following is a DFT calculation (PBE) of a relaxed SbPbO3 crystal.

Fermi-level density of states, states/eV/f.u.: 1.54
Mass density, g/cm3: 7.96
Energy relative to the elements, uncorrected, eV/atom: -1.19
Magnetic moment, μB/f.u.: 0.0
Energy, eV per atom: -5.732

```
SbPbO3
1.0
2.993 1.728 2.533
-2.993 1.728 2.533
0.000 -3.456 2.533
Sb Pb O
1 1 3
Direct
0.000 0.000 0.000
0.561 0.561 0.561
0.479 0.960 0.960
0.960 0.479 0.960
0.960 0.960 0.479
```


The following is a DFT calculation (PBE) of a relaxed Tl3Cu3ReSe8 crystal.

Fermi-level density of states, states/eV/f.u.: 11.07
Mass density, g/cm3: 7.57
Energy relative to the elements, uncorrected, eV/atom: -0.15
Magnetic moment, μB/f.u.: 0.0
Energy, eV per atom: -4.130

```
Tl3Cu3ReSe8
1.0
6.629 -3.837 0.000
6.629 3.837 0.000
-4.425 0.000 6.996
Tl Cu Re Se
3 3 1 8
Direct
0.000 0.000 0.000
0.000 0.500 0.000
0.500 0.000 0.000
0.000 0.500 0.500
0.500 0.000 0.500
0.500 0.500 0.500
0.000 0.000 0.500
0.223 0.750 0.698
0.224 0.224 0.700
0.250 0.777 0.302
0.282 0.282 0.344
0.718 0.718 0.656
0.750 0.223 0.698
0.776 0.776 0.300
0.777 0.250 0.302
```


The following is a DFT calculation (PBE) of a relaxed LiTbPrSi crystal.

Fermi-level density of states, states/eV/f.u.: 2.22
Mass density, g/cm3: 5.94
Energy relative to the elements, uncorrected, eV/atom: -0.34
Magnetic moment, μB/f.u.: 0.0
Energy, eV per atom: -4.530

```
LiTbPrSi
1.0
0.000 3.604 3.604
3.604 0.000 3.604
3.604 3.604 0.000
Li Tb Pr Si
1 1 1 1
Direct
0.000 0.000 0.000
0.750 0.750 0.750
0.250 0.250 0.250
0.500 0.500 0.500
```


The following is a DFT calculation (PBE) of a relaxed TaTe2Mo crystal.

Offset from the most stable computed form, kJ per mole of atoms: 52.8
Fermi-level density of states, states/eV/f.u.: 2.88
Mass density, g/cm3: 10.98
Energy relative to the elements, uncorrected, eV/atom: 0.36
Magnetic moment, μB/f.u.: 0.0
Energy, eV per atom: -6.878

```
TaTe2Mo
1.0
4.374 -1.650 0.000
4.374 1.650 0.000
-1.270 0.000 5.578
Ta Te Mo
1 2 1
Direct
0.000 0.000 0.000
0.247 0.247 0.745
0.753 0.753 0.255
0.500 0.500 0.500
```


The following is a DFT calculation (PBE) of a relaxed AcCeCuGe crystal.

Fermi-level density of states, states/eV/f.u.: 10.07
Mass density, g/cm3: 8.00
Magnetic moment, μB/f.u.: 1.6
ΔE_f, eV/atom: -0.302
Energy, eV per atom: -4.991

```
AcCeCuGe
1.0
0.000 3.738 3.738
3.738 0.000 3.738
3.738 3.738 0.000
Ac Ce Cu Ge
1 1 1 1
Direct
0.000 0.000 0.000
0.500 0.500 0.500
0.250 0.250 0.250
0.750 0.750 0.750
```


The following is a DFT calculation (PBE) of a relaxed NbPtSeN2 crystal.

Offset from the most stable computed form, kJ per mole of atoms: 0.0
Fermi-level density of states, states/eV/f.u.: 3.21
Mass density, g/cm3: 7.51
Energy relative to the elements, uncorrected, eV/atom: 0.63
Magnetic moment, μB/f.u.: 1.1
Energy, eV per atom: -6.618

```
NbPtSeN2
1.0
3.928 0.000 0.000
0.000 3.928 0.000
0.000 0.000 5.661
Nb Pt Se N
1 1 1 2
Direct
0.000 0.000 0.000
0.500 0.500 0.500
0.000 0.000 0.500
0.000 0.500 0.000
0.500 0.000 0.000
```


The following is a DFT calculation (PBE) of a relaxed Dy5AgBi4 crystal.

Fermi-level density of states, states/eV/f.u.: 7.08
Mass density, g/cm3: 9.43
Magnetic moment, μB/f.u.: 0.0
ΔE_f, eV/atom: -0.644
Energy, eV per atom: -4.783

```
Dy5AgBi4
1.0
-4.964 4.964 3.138
4.964 -4.964 3.138
4.964 4.964 -3.138
Dy Ag Bi
5 1 4
Direct
0.000 0.000 0.000
0.197 0.602 0.802
0.395 0.197 0.595
0.602 0.799 0.405
0.799 0.395 0.198
0.500 0.500 0.000
0.097 0.298 0.398
0.298 0.900 0.201
0.699 0.097 0.799
0.900 0.699 0.602
```


The following is a DFT calculation (PBE) of a relaxed CdAsCl2 crystal.

Offset from the most stable computed form, kJ per mole of atoms: 19.4
Fermi-level density of states, states/eV/f.u.: 1.97
Mass density, g/cm3: 3.08
Energy relative to the elements, uncorrected, eV/atom: -0.20
Magnetic moment, μB/f.u.: 0.0
Energy, eV per atom: -2.516

```
CdAsCl2
1.0
-5.107 5.107 2.669
5.107 -5.107 2.669
5.107 5.107 -2.669
Cd As Cl
2 2 4
Direct
0.375 0.625 0.750
0.625 0.375 0.250
0.125 0.875 0.250
0.875 0.125 0.750
0.000 0.000 0.000
0.000 0.000 0.500
0.000 0.500 0.000
0.500 0.000 0.500
```


The following is a DFT calculation (PBE) of a relaxed DyNpRh2 crystal.

Offset from the most stable computed form, kJ per mole of atoms: 9.9
Fermi-level density of states, states/eV/f.u.: 7.69
Mass density, g/cm3: 11.42
Magnetic moment, μB/f.u.: 3.2
ΔE_f, eV/atom: -0.412
Energy, eV per atom: -8.474

```
DyNpRh2
1.0
1.997 1.153 6.373
-1.997 1.153 6.373
0.000 -2.306 6.373
Dy Np Rh
1 1 2
Direct
0.000 0.000 0.000
0.500 0.500 0.500
0.242 0.242 0.242
0.758 0.758 0.758
```


The following is a DFT calculation (PBE) of a relaxed LaYW2 crystal.

Offset from the most stable computed form, kJ per mole of atoms: 26.0
Fermi-level density of states, states/eV/f.u.: 5.19
Mass density, g/cm3: 9.53
Magnetic moment, μB/f.u.: 0.0
ΔE_f, eV/atom: 0.559
Energy, eV per atom: -8.765

```
LaYW2
1.0
4.137 -1.642 0.000
4.137 1.642 0.000
-0.672 0.000 7.636
La Y W
1 1 2
Direct
0.000 0.000 0.000
0.784 0.784 0.382
0.251 0.251 0.742
0.527 0.527 0.611
```


The following is a DFT calculation (PBE) of a relaxed VCu3Pd6 crystal.

Offset from the most stable computed form, kJ per mole of atoms: 0.0
Fermi-level density of states, states/eV/f.u.: 6.53
Mass density, g/cm3: 10.21
Magnetic moment, μB/f.u.: 1.3
ΔE_f, eV/atom: -0.134
Energy, eV per atom: -5.391

```
VCu3Pd6
1.0
7.232 0.000 0.000
0.000 4.449 0.000
-3.505 0.000 8.894
V Cu Pd
2 6 12
Direct
0.122 0.250 0.080
0.878 0.750 0.920
0.099 0.750 0.724
0.297 0.750 0.531
0.312 0.250 0.867
0.688 0.750 0.133
0.703 0.250 0.469
0.901 0.250 0.276
0.073 0.750 0.215
0.105 0.250 0.573
0.273 0.750 0.015
0.294 0.250 0.367
0.489 0.750 0.328
0.497 0.750 0.835
0.503 0.250 0.165
0.511 0.250 0.672
0.706 0.750 0.633
0.727 0.250 0.985
0.895 0.750 0.427
0.927 0.250 0.785
```


The following is a DFT calculation (PBE) of a relaxed MgNiSe crystal.

Fermi-level density of states, states/eV/f.u.: 1.29
Mass density, g/cm3: 5.19
Energy relative to the elements, uncorrected, eV/atom: -0.44
Magnetic moment, μB/f.u.: 0.0
Energy, eV per atom: -4.060

```
MgNiSe
1.0
3.602 0.000 0.000
0.000 5.226 0.000
0.000 0.000 5.508
Mg Ni Se
2 2 2
Direct
0.000 0.000 0.000
0.000 0.500 0.419
0.500 0.240 0.704
0.500 0.760 0.704
0.000 0.000 0.494
0.500 0.500 0.038
```


The following is a DFT calculation (PBE) of a relaxed ScTaTe crystal.

Offset from the most stable computed form, kJ per mole of atoms: 2.1
Fermi-level density of states, states/eV/f.u.: 0.86
Mass density, g/cm3: 8.64
Energy relative to the elements, uncorrected, eV/atom: -0.15
Magnetic moment, μB/f.u.: 0.0
Energy, eV per atom: -7.262

```
ScTaTe
1.0
3.474 0.000 0.000
-1.737 3.008 0.000
0.000 0.000 6.499
Sc Ta Te
1 1 1
Direct
0.000 0.000 0.000
0.667 0.333 0.338
0.333 0.667 0.639
```


The following is a DFT calculation (PBE) of a relaxed ZnNiSbI2 crystal.

Offset from the most stable computed form, kJ per mole of atoms: 0.0
Fermi-level density of states, states/eV/f.u.: 3.90
Mass density, g/cm3: 5.63
Energy relative to the elements, uncorrected, eV/atom: 0.33
Magnetic moment, μB/f.u.: 0.0
Energy, eV per atom: -2.525

```
ZnNiSbI2
1.0
5.517 0.000 0.000
0.000 5.517 0.000
0.000 0.000 4.845
Zn Ni Sb I
1 1 1 2
Direct
0.000 0.000 0.000
0.500 0.500 0.500
0.500 0.500 0.000
0.000 0.500 0.500
0.500 0.000 0.500
```


The following is a DFT calculation (PBE) of a relaxed La4Ho10Er crystal.

Fermi-level density of states, states/eV/f.u.: 23.65
Mass density, g/cm3: 7.71
Magnetic moment, μB/f.u.: 0.0
ΔE_f, eV/atom: 0.369
Energy, eV per atom: -4.301

```
La4Ho10Er
1.0
-4.900 4.900 5.319
4.900 -4.900 5.319
4.900 4.900 -5.319
La Ho Er
4 10 1
Direct
0.067 0.335 0.402
0.335 0.933 0.269
0.665 0.067 0.731
0.933 0.665 0.598
0.130 0.452 0.904
0.226 0.130 0.678
0.250 0.750 0.500
0.452 0.548 0.322
0.452 0.774 0.904
0.548 0.226 0.096
0.548 0.452 0.678
0.750 0.250 0.500
0.774 0.870 0.322
0.870 0.548 0.096
0.000 0.000 0.000
```


The following is a DFT calculation (PBE) of a relaxed Y4Ga6Ir7 crystal.

Fermi-level density of states, states/eV/f.u.: 8.42
Mass density, g/cm3: 11.75
Magnetic moment, μB/f.u.: 0.0
ΔE_f, eV/atom: -0.755
Energy, eV per atom: -6.993

```
Y4Ga6Ir7
1.0
-4.215 4.215 4.215
4.215 -4.215 4.215
4.215 4.215 -4.215
Y Ga Ir
4 6 7
Direct
0.000 0.000 0.500
0.000 0.500 0.000
0.500 0.000 0.000
0.500 0.500 0.500
0.000 0.314 0.314
0.000 0.686 0.686
0.314 0.000 0.314
0.314 0.314 0.000
0.686 0.000 0.686
0.686 0.686 0.000
0.000 0.000 0.000
0.250 0.500 0.750
0.250 0.750 0.500
0.500 0.250 0.750
0.500 0.750 0.250
0.750 0.250 0.500
0.750 0.500 0.250
```


The following is a DFT calculation (PBE) of a relaxed CaPmIn2 crystal.

Fermi-level density of states, states/eV/f.u.: 2.12
Mass density, g/cm3: 6.03
Magnetic moment, μB/f.u.: 0.0
ΔE_f, eV/atom: -0.482
Energy, eV per atom: -3.539

```
CaPmIn2
1.0
3.824 0.000 0.000
0.000 3.824 0.000
0.000 0.000 7.805
Ca Pm In
1 1 2
Direct
0.000 0.000 0.000
0.000 0.000 0.500
0.500 0.500 0.248
0.500 0.500 0.752
```


The following is a DFT calculation (PBE) of a relaxed TlBiF crystal.

Offset from the most stable computed form, kJ per mole of atoms: 0.0
Fermi-level density of states, states/eV/f.u.: 0.60
Mass density, g/cm3: 8.77
Energy relative to the elements, uncorrected, eV/atom: -1.06
Magnetic moment, μB/f.u.: 0.0
Energy, eV per atom: -3.769

```
TlBiF
1.0
2.471 -2.471 0.000
2.471 2.471 0.000
-2.408 0.000 13.403
Tl Bi F
2 2 2
Direct
0.187 0.187 0.371
0.813 0.813 0.629
0.446 0.446 0.888
0.554 0.554 0.112
0.279 0.279 0.561
0.721 0.721 0.439
```


The following is a DFT calculation (PBE) of a relaxed CeDyH4 crystal.

Fermi-level density of states, states/eV/f.u.: 6.84
Mass density, g/cm3: 6.78
Magnetic moment, μB/f.u.: 0.8
Energy, eV per atom: -4.611

```
CeDyH4
1.0
3.737 0.000 0.000
0.000 3.737 0.000
0.000 0.000 5.381
Ce Dy H
1 1 4
Direct
0.000 0.000 0.000
0.500 0.500 0.500
0.000 0.500 0.264
0.000 0.500 0.736
0.500 0.000 0.264
0.500 0.000 0.736
```